a) Compound: CuNiPC
Source: the Alexandria database
Functional: PBE
Structure: relaxed

SG: No. 5
Size of the total moment (μB/f.u.): 0.000

Cell lengths 3.6263, 7.9248, 5.1441 Å; angles 90.00, 135.01, 90.00 degrees
Sites, in units of the cell vectors:
P1 0.0000 0.6808 0.5000
P2 0.0000 0.1808 0.0000
Cu1 0.5000 0.5009 0.5000
Cu2 0.5000 0.0009 0.0000
C1 0.0000 0.8962 0.5000
C2 0.0000 0.3962 0.0000
Ni1 0.5000 0.5095 0.0000
Ni2 0.5000 0.0095 0.5000

=====

b) Compound: CuNiPC
Source: the Alexandria database
Functional: PBE
Structure: relaxed

SG: No. 8
Size of the total moment (μB/f.u.): 0.000

Cell lengths 4.1049, 2.7140, 9.0762 Å; angles 90.00, 93.52, 90.00 degrees
Sites, in units of the cell vectors:
C1 0.3742 0.5000 0.3962
C2 0.3742 0.0000 0.8962
Ni1 0.6383 0.0000 0.3029
Ni2 0.6383 0.5000 0.8029
Cu1 0.3815 0.5000 0.0535
Cu2 0.3815 0.0000 0.5535
P1 0.0615 0.0000 0.7498
P2 0.0615 0.5000 0.2498

=====

c) Compound: CuNiPC
Source: the Alexandria database
Functional: PBE
Structure: relaxed

SG: No. 1
Size of the total moment (μB/f.u.): 0.000

Cell lengths 3.8075, 3.8851, 3.9208 Å; angles 74.26, 88.89, 63.96 degrees
Sites, in units of the cell vectors:
Ni1 0.7222 0.8353 0.5672
C1 0.8026 0.6617 0.0904
P1 0.0659 0.2400 0.4454
Cu1 0.7030 0.2336 0.9574

=====

Most stable structure - a); separation to the second - 45 meV/atom.

=====

a) Compound: CuSiNiC
Source: the Alexandria database
Functional: PBE
Structure: relaxed

SG: No. 8
Size of the total moment (μB/f.u.): 0.000

Cell lengths 6.1384, 3.0642, 5.2983 Å; angles 90.00, 106.38, 90.00 degrees
Sites, in units of the cell vectors:
Si1 0.8040 0.5000 0.6395
Si2 0.8040 0.0000 0.1395
Ni1 0.0936 0.5000 0.3993
Ni2 0.0936 0.0000 0.8993
C1 0.7334 0.5000 0.2828
C2 0.7334 0.0000 0.7828
Cu1 0.3905 0.0000 0.6640
Cu2 0.3905 0.5000 0.1640

=====

b) Compound: CuSiNiC
Source: the Alexandria database
Functional: PBE
Structure: relaxed

SG: No. 8
Size of the total moment (μB/f.u.): 0.000

Cell lengths 6.6092, 2.7089, 5.3996 Å; angles 90.00, 109.58, 90.00 degrees
Sites, in units of the cell vectors:
C1 0.1514 0.0000 0.4966
C2 0.1514 0.5000 0.9966
Cu1 0.6170 0.5000 0.9482
Cu2 0.6170 0.0000 0.4482
Si1 0.2869 0.5000 0.3589
Si2 0.2869 0.0000 0.8589
Ni1 0.9232 0.5000 0.3872
Ni2 0.9232 0.0000 0.8872

=====

c) Compound: CuSiNiC
Source: the Alexandria database
Functional: PBE
Structure: relaxed

SG: No. 6
Size of the total moment (μB/f.u.): 0.000

Cell lengths 3.7318, 3.2375, 3.7630 Å; angles 90.00, 103.34, 90.00 degrees
Sites, in units of the cell vectors:
C1 0.8212 0.0000 0.8548
Ni1 0.3651 0.0000 0.0101
Si1 0.9696 0.0000 0.3975
Cu1 0.5172 0.5000 0.5562

=====

Most stable structure - a); separation to the second - 128 meV/atom.

=====

a) Compound: Sr2CuNiC
Source: the Alexandria database
Functional: PBE
Structure: relaxed

SG: No. 123
Size of the total moment (μB/f.u.): 1.924

Cell lengths 5.4622, 4.3754, 5.4622 Å; angles 90.00, 90.00, 90.00 degrees
Each line ends with the local moment (μB).
Sites, in units of the cell vectors:
Ni1 0.0000 0.0000 0.0000  0.12
Sr1 0.0000 0.0000 0.5000  0.00
Sr2 0.5000 0.0000 0.0000  0.00
Cu1 0.0000 0.5000 0.0000  0.04
C1 0.5000 0.5000 0.5000  0.81

=====

b) Compound: Sr2CuNiC
Source: the Alexandria database
Functional: PBE
Structure: relaxed

SG: No. 123
Size of the total moment (μB/f.u.): 0.000

Cell lengths 5.4689, 3.6328, 5.4689 Å; angles 90.00, 90.00, 90.00 degrees
Sites, in units of the cell vectors:
C1 0.0000 0.0000 0.0000
Sr1 0.0000 0.0000 0.5000
Sr2 0.5000 0.0000 0.0000
Cu1 0.5000 0.5000 0.5000
Ni1 0.0000 0.5000 0.0000

=====

Most stable structure - b); separation to the second - 995 meV/atom.

=====

a) Compound: CuC3O
Source: the Alexandria database
Functional: PBE
Structure: relaxed

SG: No. 221
Size of the total moment (μB/f.u.): 0.000

Cell lengths 3.7972, 3.7972, 3.7972 Å; angles 90.00, 90.00, 90.00 degrees
Sites, in units of the cell vectors:
C1 0.5000 0.0000 0.0000
C2 0.0000 0.5000 0.0000
C3 0.0000 0.0000 0.5000
Cu1 0.0000 0.0000 0.0000
O1 0.5000 0.5000 0.5000

=====

b) Compound: CuC3O
Source: the Alexandria database
Functional: PBE
Structure: relaxed

SG: No. 221
Size of the total moment (μB/f.u.): 0.000

Cell lengths 3.5862, 3.5862, 3.5862 Å; angles 90.00, 90.00, 90.00 degrees
Sites, in units of the cell vectors:
O1 0.0000 0.0000 0.0000
C1 0.0000 0.5000 0.0000
C2 0.0000 0.0000 0.5000
C3 0.5000 0.0000 0.0000
Cu1 0.5000 0.5000 0.5000

=====

Most stable structure - b); separation to the second - 100 meV/atom.

=====

a) Compound: CuPCO2
Source: the Alexandria database
Functional: PBE
Structure: relaxed

SG: No. 123
Size of the total moment (μB/f.u.): 0.433

Cell lengths 3.3291, 3.3291, 4.4395 Å; angles 90.00, 90.00, 90.00 degrees
Each line ends with the local moment (μB).
Sites, in units of the cell vectors:
O1 0.0000 0.5000 0.0000  0.16
O2 0.5000 0.0000 0.0000  0.16
P1 0.0000 0.0000 0.5000  0.03
Cu1 0.5000 0.5000 0.5000  0.01
C1 0.0000 0.0000 0.0000  0.00

=====

b) Compound: CuPCO2
Source: the Alexandria database
Functional: PBE
Structure: relaxed

SG: No. 123
Size of the total moment (μB/f.u.): 0.717

Cell lengths 3.5221, 3.5221, 4.9855 Å; angles 90.00, 90.00, 90.00 degrees
Each line ends with the local moment (μB).
Sites, in units of the cell vectors:
C1 0.5000 0.5000 0.5000  -0.01
O1 0.5000 0.0000 0.0000  0.28
O2 0.0000 0.5000 0.0000  0.28
P1 0.0000 0.0000 0.5000  0.02
Cu1 0.0000 0.0000 0.0000  0.07

=====

Most stable structure - a); separation to the second - 374 meV/atom.

=====

a) Compound: CuCSO
Source: the Alexandria database
Functional: PBE
Structure: relaxed

SG: No. 1
Size of the total moment (μB/f.u.): 0.000

Cell lengths 6.3077, 6.7029, 3.4942 Å; angles 62.01, 72.15, 105.69 degrees
Sites, in units of the cell vectors:
O1 0.6770 0.5092 0.9807
O2 0.0704 0.6602 0.8860
S1 0.1730 0.2685 0.8472
S2 0.5885 0.9785 0.3989
Cu1 0.2099 0.0418 0.5427
Cu2 0.5566 0.7088 0.1885
C1 0.8791 0.2527 0.0502
C2 0.8757 0.4908 0.9646

=====

b) Compound: CuCSO
Source: the Alexandria database
Functional: PBE
Structure: relaxed

SG: No. 1
Size of the total moment (μB/f.u.): 0.000

Cell lengths 5.5350, 6.6108, 5.3925 Å; angles 122.75, 65.95, 99.98 degrees
Sites, in units of the cell vectors:
C1 0.5413 0.6226 0.1254
C2 0.0074 0.2037 0.4085
S1 0.7301 0.2828 0.4015
S2 0.2012 0.9359 0.0758
Cu1 0.5480 0.9361 0.1835
Cu2 0.9117 0.6550 0.9736
O1 0.3812 0.5079 0.2077
O2 0.0906 0.3367 0.6304

=====

Most stable structure - a); separation to the second - 13 meV/atom.

=====

a) Compound: CuCSO
Source: the Alexandria database
Functional: PBE
Structure: relaxed

SG: No. 129
Size of the total moment (μB/f.u.): 0.000

Cell lengths 3.3734, 3.3734, 9.0166 Å; angles 90.00, 90.00, 90.00 degrees
Sites, in units of the cell vectors:
O1 0.5000 0.5000 0.0000
O2 0.0000 0.0000 0.0000
C1 0.5000 0.0000 0.9293
C2 0.0000 0.5000 0.0707
S1 0.5000 0.0000 0.3289
S2 0.0000 0.5000 0.6711
Cu1 0.0000 0.0000 0.5000
Cu2 0.5000 0.5000 0.5000

=====

b) Compound: CuCSO
Source: the Alexandria database
Functional: PBE
Structure: relaxed

SG: No. 1
Size of the total moment (μB/f.u.): 0.000

Cell lengths 5.6096, 5.9378, 3.8295 Å; angles 75.98, 92.28, 93.53 degrees
Sites, in units of the cell vectors:
S1 0.7385 0.6158 0.9151
S2 0.8700 0.1029 0.5079
Cu1 0.9914 0.9202 0.1053
Cu2 0.6403 0.4262 0.4603
O1 0.4083 0.2060 0.7712
O2 0.3241 0.8519 0.1302
C1 0.4595 0.9975 0.9136
C2 0.6876 0.9098 0.8158

=====

Most stable structure - b); separation to the second - 1391 meV/atom.

=====

a) Compound: CuOsC2
Source: the Alexandria database
Functional: PBE
Structure: relaxed

SG: No. 122
Size of the total moment (μB/f.u.): 0.000

Cell lengths 4.5887, 4.5887, 5.6153 Å; angles 65.88, 65.88, 90.00 degrees
Sites, in units of the cell vectors:
Cu1 0.5000 0.5000 0.0000
Cu2 0.2500 0.7500 0.5000
C1 0.6453 0.1250 0.2500
C2 0.3750 0.3547 0.7500
C3 0.1047 0.6250 0.2500
C4 0.8750 0.8953 0.7500
Os1 0.0000 0.0000 0.0000
Os2 0.7500 0.2500 0.5000

=====

b) Compound: CuOsC2
Source: the Alexandria database
Functional: PBE
Structure: relaxed

SG: No. 225
Size of the total moment (μB/f.u.): 0.000

Cell lengths 3.7628, 3.7628, 3.7628 Å; angles 60.00, 60.00, 60.00 degrees
Sites, in units of the cell vectors:
Os1 0.5000 0.5000 0.5000
C1 0.2500 0.2500 0.2500
C2 0.7500 0.7500 0.7500
Cu1 0.0000 0.0000 0.0000

=====

Most stable structure - a); separation to the second - 830 meV/atom.